(1)
This record from the Alexandria database describes crystalline PuPd2Pb at its relaxed geometry. The functional is GGA-PBE.

a b c (Å): 3.5370 3.5370 6.9115
angles (deg): 90.00 90.00 90.00
Atoms (fractional coordinates):
Pu 0.5000 0.5000 0.5000
Pd 0.0000 0.0000 0.2549
Pd 0.0000 0.0000 0.7451
Pb 0.5000 0.5000 0.0000

Values from the calculation:
M_tot: 5.4 μB/f.u.
SG: P4/mmm (123)
Final energy: -7.39 eV per atom



(2)
This record from the Alexandria database describes crystalline Tl2CoBr at its relaxed geometry. The functional is GGA-PBE.

a b c (Å): 3.2561 3.2561 9.4971
angles (deg): 90.00 90.00 90.00
Atoms (fractional coordinates):
Br 0.0000 0.0000 0.5904
Tl 0.0000 0.0000 0.9420
Tl 0.5000 0.5000 0.2460
Co 0.5000 0.5000 0.7216

Values from the calculation:
M_tot: 2.0 μB/f.u.
SG: P4mm (99)
Raw formation energy: 259 meV/atom
Final energy: -3.12 eV per atom
Relative energy among the computed polymorphs: 0.124 eV per atom



(3)
This record from the Alexandria database describes crystalline PH3Rh at its relaxed geometry. The functional is GGA-PBE.

a b c (Å): 3.4196 3.4196 3.4196
angles (deg): 90.00 90.00 90.00
Atoms (fractional coordinates):
H 0.0000 0.0000 0.5000
Rh 0.5000 0.5000 0.5000
H 0.5000 0.0000 0.0000
P 0.0000 0.0000 0.0000
H 0.0000 0.5000 0.0000

Values from the calculation:
M_tot: 0.0 μB/f.u.
SG: Pm-3m (221)
Final energy: -3.76 eV per atom
Relative energy among the computed polymorphs: 0.282 eV per atom